[1]
! Tb4HgAu2 | Alexandria via LeMat-Bulk | PBE-GGA | optimized geometry; values from VASP
! Energy relative to the lowest polymorph listed for this composition (meV/atom): 0
! Volume (Å³/cell): 188
&SYSTEM
  ibrav = 0, nat = 7, ntyp = 3
/
ATOMIC_SPECIES
Tb 158.93 Tb.upf
Hg 200.59 Hg.upf
Au 196.97 Au.upf
ATOMIC_POSITIONS crystal
Tb 0.8720 0.8720 0.3839
Tb 0.1280 0.1280 0.6161
Tb 0.6203 0.6203 0.1390
Tb 0.3797 0.3797 0.8610
Hg 0.0000 0.0000 0.0000
Au 0.7524 0.7524 0.7429
Au 0.2476 0.2476 0.2571
CELL_PARAMETERS angstrom
-1.1266 2.7326 4.1664
3.3911 0.3762 3.8018
3.9948 7.7986 -0.9030

***

[2]
! CeIn2As2Rh7 | Alexandria via LeMat-Bulk | PBE-GGA | optimized geometry; values from VASP
! Volume (Å³/cell): 221
&SYSTEM
  ibrav = 0, nat = 12, ntyp = 4
/
ATOMIC_SPECIES
Ce 140.12 Ce.upf
In 114.82 In.upf
As 74.92 As.upf
Rh 102.91 Rh.upf
ATOMIC_POSITIONS crystal
Ce 0.0000 0.0000 0.0000
In 0.8850 0.8850 0.4001
In 0.1150 0.1150 0.5999
As 0.5894 0.5894 0.7483
As 0.4106 0.4106 0.2517
Rh 0.5000 0.5000 0.0000
Rh 0.3753 0.3753 0.4198
Rh 0.6247 0.6247 0.5802
Rh 0.9466 0.4461 0.1503
Rh 0.4461 0.9466 0.1503
Rh 0.5539 0.0534 0.8497
Rh 0.0534 0.5539 0.8497
CELL_PARAMETERS angstrom
3.9343 0.0064 -0.0634
0.0112 3.9343 -0.0634
1.6513 1.6493 14.2205

***

Number 1: total DFT energy (no corrections) -4.183 eV per atom, calculated density 10.89 g cm⁻³. Number 2: total DFT energy (no corrections) -6.388 eV per atom, calculated density 9.32 g cm⁻³.